[1]
TbPm2DySe4 after structural relaxation. Source: Alexandria via LeMat-Bulk, functional PBE-GGA.

a b c (Å): 4.0822 7.2851 7.1330
angles (deg): 71.24 90.00 90.00
With the nearest neighbours (Å) after each atom.
Atoms (fractional coordinates):
Dy (0.0000, 0.5000, 0.5000)  6 Se 2.88
Pm (0.5000, 0.0000, 0.5000)  6 Se 2.97
Pm (0.0000, 0.0000, 0.0000)  6 Se 2.98
Se (0.5000, 0.7391, 0.2547)  2 Dy 2.88, 1 Tb 2.89, 3 Pm 2.97-2.98
Se (0.5000, 0.2609, 0.7453)  2 Dy 2.88, 1 Tb 2.89, 3 Pm 2.97-2.98
Se (0.0000, 0.7397, 0.7526)  1 Dy 2.88, 2 Tb 2.89, 3 Pm 2.97-2.98
Se (0.0000, 0.2603, 0.2474)  1 Dy 2.88, 2 Tb 2.89, 3 Pm 2.97-2.98
Tb (0.5000, 0.5000, 0.0000)  6 Se 2.89

Summary:
DOS(E_F) ... 4.47 states/eV/f.u.
Crystal system ... monoclinic
Total magnetization ... 0.0000 μB/atom
VASP energy ... -5.8831 eV/atom
Energy relative to the elements, uncorrected ... -1.799 eV per atom


[2]
SbSe3Cl after structural relaxation. Source: Alexandria via LeMat-Bulk, functional PBE-GGA.

a b c (Å): 4.9974 4.9974 4.9974
angles (deg): 90.00 90.00 90.00
With the nearest neighbours (Å) after each atom.
Atoms (fractional coordinates):
Se (0.5000, 0.0000, 0.0000)  2 Cl 2.50
Se (0.0000, 0.5000, 0.0000)  2 Cl 2.50
Se (0.0000, 0.0000, 0.5000)  2 Cl 2.50
Sb (0.5000, 0.5000, 0.5000)  12 Se 3.53
Cl (0.0000, 0.0000, 0.0000)  6 Se 2.50

Summary:
DOS(E_F) ... 3.47 states/eV/f.u.
Crystal system ... cubic
Total magnetization ... 0.0000 μB/atom
Energy above the lowest structure with this stoichiometry ... 168 meV/atom
VASP energy ... -2.5332 eV/atom
Energy relative to the elements, uncorrected ... 0.751 eV per atom


[3]
TiBe4Cr after structural relaxation. Source: Alexandria via LeMat-Bulk, functional PBE-GGA.

a b c (Å): 4.3901 4.3901 4.3901
angles (deg): 60.00 60.00 60.00
With the nearest neighbours (Å) after each atom.
Atoms (fractional coordinates):
Be (0.6261, 0.1217, 0.6261)  6 Be 2.18-2.21
Be (0.6261, 0.6261, 0.6261)  6 Be 2.18-2.21
Be (0.1217, 0.6261, 0.6261)  6 Be 2.18-2.21
Be (0.6261, 0.6261, 0.1217)  6 Be 2.18-2.21
Cr (0.0000, 0.0000, 0.0000)  12 Be 2.57, 4 Ti 2.69
Ti (0.2500, 0.2500, 0.2500)  12 Be 2.58, 4 Cr 2.69

Summary:
DOS(E_F) ... 5.13 states/eV/f.u.
Crystal system ... cubic
Total magnetization ... 0.2539 μB/atom
Energy of formation from the pure elements ... -0.2102 eV/atom
VASP energy ... -5.6140 eV/atom


[4]
PmNdBeGe after structural relaxation. Source: Alexandria via LeMat-Bulk, functional PBE-GGA.

a b c (Å): 5.0776 5.0776 5.0776
angles (deg): 60.00 60.00 60.00
With the nearest neighbours (Å) after each atom.
Atoms (fractional coordinates):
Nd (0.5000, 0.5000, 0.5000)  4 Ge 3.11, 4 Be 3.11
Ge (0.7500, 0.7500, 0.7500)  4 Nd 3.11, 4 Pm 3.11
Be (0.2500, 0.2500, 0.2500)  4 Nd 3.11, 4 Pm 3.11
Pm (0.0000, 0.0000, 0.0000)  4 Ge 3.11, 4 Be 3.11

Summary:
DOS(E_F) ... 1.30 states/eV/f.u.
Crystal system ... cubic
Total magnetization ... 0.0000 μB/atom
Energy of formation from the pure elements ... -0.2486 eV/atom
VASP energy ... -4.7141 eV/atom


[5]
NaSn4Pd7 after structural relaxation. Source: Alexandria via LeMat-Bulk, functional PBE-GGA.

a b c (Å): 4.8612 8.5452 6.2865
angles (deg): 82.35 67.25 73.47
With the nearest neighbours (Å) after each atom.
Atoms (fractional coordinates):
Sn (0.5881, 0.2176, 0.6062)  8 Pd 2.69-2.91
Sn (0.2737, 0.3280, 0.1245)  6 Pd 2.64-2.82
Sn (0.7263, 0.6720, 0.8755)  6 Pd 2.64-2.82
Sn (0.4119, 0.7824, 0.3938)  8 Pd 2.69-2.91
Pd (0.0779, 0.6599, 0.1842)  5 Sn 2.75-3.02, 4 Pd 2.80-2.97, 1 Na 2.96
Pd (0.3616, 0.5415, 0.7353)  5 Sn 2.76-2.82, 4 Pd 2.80-2.97
Pd (0.5000, 0.0000, 0.0000)  2 Na 2.43
Pd (0.9221, 0.3401, 0.8158)  5 Sn 2.75-3.02, 4 Pd 2.80-2.97, 1 Na 2.96
Pd (0.6384, 0.4585, 0.2647)  5 Sn 2.76-2.82, 4 Pd 2.80-2.97
Pd (0.2149, 0.1063, 0.4639)  4 Sn 2.64-2.73, 2 Pd 2.83-2.85
Pd (0.7851, 0.8937, 0.5361)  4 Sn 2.64-2.73, 2 Pd 2.83-2.85
Na (0.0000, 0.0000, 0.0000)  2 Pd 2.43

Summary:
DOS(E_F) ... 4.35 states/eV/f.u.
Crystal system ... monoclinic
Total magnetization ... 0.0000 μB/atom
Energy of formation from the pure elements ... -0.3684 eV/atom
VASP energy ... -4.8417 eV/atom


[6]
CsSrBr3 after structural relaxation. Source: Alexandria via LeMat-Bulk, functional PBE-GGA.

a b c (Å): 19.0090 10.9979 10.9979
angles (deg): 103.03 135.21 44.79
With the nearest neighbours (Å) after each atom.
Atoms (fractional coordinates):
Sr (0.8791, 0.4582, 0.7154)  6 Br 3.09-3.12
Sr (0.3791, 0.7846, 0.0418)  6 Br 3.09-3.12
Sr (0.6209, 0.2154, 0.9582)  6 Br 3.09-3.12
Sr (0.1209, 0.5418, 0.2846)  6 Br 3.09-3.12
Br (0.9196, 0.7686, 0.3296)  2 Sr 3.10-3.11
Br (0.0804, 0.2314, 0.6704)  2 Sr 3.10-3.11
Br (0.0018, 0.3869, 0.1113)  2 Sr 3.09
Br (0.4982, 0.6113, 0.8869)  2 Sr 3.09
Br (0.4207, 0.3875, 0.5099)  2 Sr 3.10-3.12
Br (0.5018, 0.3887, 0.1131)  2 Sr 3.09
Br (0.9982, 0.6131, 0.8887)  2 Sr 3.09
Br (0.5804, 0.8296, 0.2686)  2 Sr 3.10-3.11
Br (0.5793, 0.6125, 0.4901)  2 Sr 3.10-3.12
Br (0.4196, 0.1704, 0.7314)  2 Sr 3.10-3.11
Br (0.0793, 0.0099, 0.8875)  2 Sr 3.10-3.12
Br (0.9207, 0.9901, 0.1125)  2 Sr 3.10-3.12
Cs (0.7500, 0.1296, 0.6296)  6 Br 3.58-3.71
Cs (0.7500, 0.6257, 0.1257)  6 Br 3.59-3.71
Cs (0.2500, 0.3743, 0.8743)  6 Br 3.59-3.71
Cs (0.2500, 0.8704, 0.3704)  6 Br 3.58-3.71

Summary:
DOS(E_F) ... 0.00 states/eV/f.u.
Crystal system ... monoclinic
Total magnetization ... 0.0000 μB/atom
VASP energy ... -3.5000 eV/atom
Energy relative to the elements, uncorrected ... -1.989 eV per atom


[7]
PmHo2Pt2 after structural relaxation. Source: Alexandria via LeMat-Bulk, functional PBE-GGA.

a b c (Å): 4.6195 5.4805 10.4353
angles (deg): 97.69 90.00 90.00
With the nearest neighbours (Å) after each atom.
Atoms (fractional coordinates):
Ho (0.7500, 0.8789, 0.1141)  5 Pt 2.80-2.96
Ho (0.2500, 0.1211, 0.8859)  5 Pt 2.80-2.96
Ho (0.7500, 0.2275, 0.4686)  4 Pt 2.87-2.94
Ho (0.2500, 0.7725, 0.5314)  4 Pt 2.87-2.94
Pt (0.2500, 0.6589, 0.9723)  4 Ho 2.80-2.96, 3 Pm 2.99-3.04, 2 Pt 3.00
Pt (0.7500, 0.7004, 0.3672)  5 Ho 2.87-2.94, 2 Pm 3.05
Pt (0.7500, 0.3411, 0.0277)  4 Ho 2.80-2.96, 3 Pm 2.99-3.04, 2 Pt 3.00
Pt (0.2500, 0.2996, 0.6328)  5 Ho 2.87-2.94, 2 Pm 3.05
Pm (0.7500, 0.5681, 0.7827)  5 Pt 2.99-3.05
Pm (0.2500, 0.4319, 0.2173)  5 Pt 2.99-3.05

Summary:
DOS(E_F) ... 3.65 states/eV/f.u.
Crystal system ... monoclinic
Total magnetization ... 0.0000 μB/atom
Energy of formation from the pure elements ... -1.0277 eV/atom
VASP energy ... -6.2253 eV/atom


[8]
CdRe2NiSe after structural relaxation. Source: Alexandria via LeMat-Bulk, functional PBE-GGA.

a b c (Å): 4.5322 4.9860 4.5322
angles (deg): 90.00 90.00 90.00
With the nearest neighbours (Å) after each atom.
Atoms (fractional coordinates):
Se (0.0000, 0.0000, 0.0000)  4 Re 2.27, 2 Cd 2.49
Cd (0.0000, 0.5000, 0.0000)  2 Se 2.49
Re (0.5000, 0.0000, 0.0000)  2 Se 2.27
Re (0.0000, 0.0000, 0.5000)  2 Se 2.27
Ni (0.5000, 0.5000, 0.5000)  4 Cd 3.20, 8 Re 3.37

Summary:
DOS(E_F) ... 8.07 states/eV/f.u.
Crystal system ... tetragonal
Total magnetization ... 0.0057 μB/atom
VASP energy ... -5.1819 eV/atom
Energy relative to the elements, uncorrected ... 1.834 eV per atom


[9]
TlNi2Se3 after structural relaxation. Source: Alexandria via LeMat-Bulk, functional PBE-GGA.

a b c (Å): 7.0689 7.0689 7.4333
angles (deg): 61.61 61.61 60.00
With the nearest neighbours (Å) after each atom.
Atoms (fractional coordinates):
Ni (0.5000, 0.0000, 0.0000)  4 Se 2.34
Ni (0.5000, 0.5000, 0.0000)  4 Se 2.34
Ni (0.0000, 0.5000, 0.0000)  4 Se 2.34
Ni (0.0000, 0.0000, 0.0000)  6 Se 2.40
Se (0.7234, 0.2341, 0.8084)  3 Ni 2.34-2.40
Se (0.7659, 0.2766, 0.1916)  3 Ni 2.34-2.40
Se (0.7659, 0.7659, 0.1916)  3 Ni 2.34-2.40
Se (0.2341, 0.7234, 0.8084)  3 Ni 2.34-2.40
Se (0.2766, 0.7659, 0.1916)  3 Ni 2.34-2.40
Se (0.2341, 0.2341, 0.8084)  3 Ni 2.34-2.40
Tl (0.2165, 0.2165, 0.3504)  3 Ni 2.98
Tl (0.7835, 0.7835, 0.6496)  3 Ni 2.98

Summary:
DOS(E_F) ... 0.51 states/eV/f.u.
Crystal system ... trigonal
Total magnetization ... 0.0000 μB/atom
VASP energy ... -4.3940 eV/atom
Energy relative to the elements, uncorrected ... -0.330 eV per atom


[10]
TlGa4Sn2 after structural relaxation. Source: Alexandria via LeMat-Bulk, functional PBE-GGA.

a b c (Å): 6.5189 6.5189 6.5189
angles (deg): 105.45 105.45 117.85
With the nearest neighbours (Å) after each atom.
Atoms (fractional coordinates):
Ga (0.5000, 0.2733, 0.7733)  2 Ga 2.53, 2 Sn 2.74
Ga (0.7267, 0.5000, 0.2267)  2 Ga 2.53, 2 Sn 2.74
Ga (0.2733, 0.5000, 0.7733)  2 Ga 2.53, 2 Sn 2.74
Ga (0.5000, 0.7267, 0.2267)  2 Ga 2.53, 2 Sn 2.74
Tl (0.0000, 0.0000, 0.0000)  8 Ga 3.81
Sn (0.7500, 0.2500, 0.5000)  4 Ga 2.74
Sn (0.2500, 0.7500, 0.5000)  4 Ga 2.74

Summary:
DOS(E_F) ... 3.43 states/eV/f.u.
Crystal system ... tetragonal
Total magnetization ... 0.0000 μB/atom
Energy above the lowest structure with this stoichiometry ... 136 meV/atom
Energy of formation from the pure elements ... 0.1775 eV/atom
VASP energy ... -3.0338 eV/atom